Record 1
Density functional theory data (PBE) for a relaxed La3Ce5Ru2 crystal.

Cell and atoms, written as POSCAR:
```
La3Ce5Ru2
1.0
6.732 0.000 0.000
3.366 9.120 -0.269
3.366 2.161 8.864
Ru Ce La
4 10 6
Cartesian
6.732 2.665 0.453 Ru
3.366 1.144 2.449 Ru
6.732 8.616 8.142 Ru
10.098 10.137 6.146 Ru
8.415 5.640 4.298 Ce
5.049 7.991 6.089 Ce
3.366 6.329 1.819 Ce
5.049 3.289 2.506 Ce
6.732 3.433 5.620 Ce
6.732 7.847 2.975 Ce
8.415 7.991 6.089 Ce
10.098 4.951 6.776 Ce
5.049 5.640 4.298 Ce
8.415 3.289 2.506 Ce
6.732 5.692 0.263 La
5.049 0.000 0.000 La
1.683 0.000 0.000 La
3.366 1.764 5.418 La
10.098 9.516 3.177 La
6.732 5.588 8.332 La
```

Properties
density = 7.99 g/cm³
calculated total energy = -6.377 eV per atom
energy of formation = -0.766 eV/f.u.

Record 2
Density functional theory data (PBE) for a relaxed LaCe4Si10Ru10 crystal.

Cell and atoms, written as POSCAR:
```
LaCe4Si10Ru10
1.0
-4.036 -1.160 -0.310
0.394 -0.253 -4.185
4.758 -24.134 -0.214
Ce La Ru Si
4 1 10 10
Cartesian
-0.492 -5.439 -1.836 Ce
2.121 -14.743 -1.029 Ce
-1.005 -10.804 -3.679 Ce
1.608 -20.108 -2.872 Ce
0.000 0.000 0.000 La
1.665 -12.547 -3.323 Ru
0.358 -7.891 -3.727 Ru
-1.857 -8.345 -1.789 Ru
2.061 -22.295 -0.579 Ru
-0.945 -3.252 -4.130 Ru
0.758 -17.655 -0.981 Ru
-3.160 -3.706 -2.192 Ru
-0.549 -13.000 -1.385 Ru
2.973 -17.202 -2.919 Ru
4.276 -21.841 -2.516 Ru
-2.659 -4.914 -4.191 Si
1.161 -11.324 -1.326 Si
0.469 -8.861 -1.539 Si
-0.045 -14.223 -3.383 Si
-1.449 -2.032 -2.132 Si
2.565 -23.515 -2.576 Si
3.775 -20.633 -0.518 Si
3.083 -18.169 -0.732 Si
-1.967 -7.378 -3.977 Si
0.647 -16.686 -3.169 Si
```

Properties
density = 7.64 g/cm³
calculated total energy = -7.912 eV per atom
formation energy from raw total energies = -20.42 kcal/mol of atoms

Record 3
Density functional theory data (PBE) for a relaxed La4Ce3S8 crystal.

Cell and atoms, written as POSCAR:
```
La4Ce3S8
1.0
-4.853 4.080 -5.239
3.425 -7.107 -2.257
-3.231 -3.647 6.603
La S Ce
4 8 3
Cartesian
0.000 0.000 0.000 La
1.713 -3.554 -1.128 La
-2.426 2.040 -2.620 La
-1.615 -1.824 3.301 La
-2.277 -5.996 0.631 S
1.761 -6.242 -0.041 S
-2.381 -0.678 -1.524 S
0.021 -2.698 1.069 S
-1.566 -4.512 4.387 S
-4.679 -3.976 -1.963 S
-3.977 -2.481 1.747 S
-0.682 -4.194 -2.640 S
-2.329 -3.337 -0.447 Ce
-0.714 -1.513 -3.748 Ce
-4.042 0.217 0.682 Ce
```

Properties
density = 5.24 g/cm³
calculated total energy = -6.785 eV per atom
formation energy from raw total energies = -48.02 kcal/mol of atoms

Q: Which formula does entry 2 have?
A: LaCe4Si10Ru10